# YTh2Sc GGA-PBE optimized geometry
data_YTh2Sc
_cell_length_a 3.542
_cell_length_b 3.542
_cell_length_c 19.428
_cell_angle_alpha 90.00
_cell_angle_beta 90.00
_cell_angle_gamma 90.00
_space_group_name_H-M_alt 'P 4/n m m'
_space_group_IT_number 129
loop_
_space_group_symop_operation_xyz
'x,y,z'
'-x,-y,-z'
'-y+1/2,x,z'
'y+1/2,-x,-z'
'-x+1/2,-y+1/2,z'
'x+1/2,y+1/2,-z'
'y,-x+1/2,z'
'-y,x+1/2,-z'
'x+1/2,-y,-z'
'-x+1/2,y,z'
'-y,-x,-z'
'y,x,z'
'-x,y+1/2,-z'
'x,-y+1/2,z'
'y+1/2,x+1/2,-z'
'-y+1/2,-x+1/2,z'
loop_
_atom_site_label
_atom_site_type_symbol
_atom_site_fract_x
_atom_site_fract_y
_atom_site_fract_z
Y1 Y 0.250 0.250 0.071
Th1 Th 0.250 0.250 0.564
Th2 Th 0.250 0.250 0.803
Sc1 Sc 0.250 0.250 0.315
# - ΔE_f (eV per atom) = 0.04
# - final energy (eV for the cell shown) = -54.96
# - E above lowest polymorph (meV per atom) = 0
# - crystal system = tetragonal
# - calculated volume (Å³ per cell) = 244

---

# Ac3P2Rh4 GGA-PBE optimized geometry
data_Ac3P2Rh4
_cell_length_a 11.517
_cell_length_b 4.194
_cell_length_c 8.599
_cell_angle_alpha 90.00
_cell_angle_beta 100.67
_cell_angle_gamma 90.00
_space_group_name_H-M_alt 'C 1 2/m 1'
_space_group_IT_number 12
loop_
_space_group_symop_operation_xyz
'x,y,z'
'-x,-y,-z'
'-x,y,-z'
'x,-y,z'
'x+1/2,y+1/2,z'
'-x+1/2,-y+1/2,-z'
'-x+1/2,y+1/2,-z'
'x+1/2,-y+1/2,z'
loop_
_atom_site_label
_atom_site_type_symbol
_atom_site_fract_x
_atom_site_fract_y
_atom_site_fract_z
Ac1 Ac 0.000 0.000 0.000
Ac2 Ac 0.165 0.500 0.671
P1 P 0.111 0.500 0.287
Rh1 Rh 0.061 0.000 0.375
Rh2 Rh 0.212 0.500 0.076
# - ΔE_f (eV per atom) = -0.95
# - final energy (eV for the cell shown) = -122.17
# - crystal system = monoclinic
# - calculated volume (Å³ per cell) = 408

---

# La8P3RuI4 GGA-PBE optimized geometry
data_La8P3RuI4
_cell_length_a 14.947
_cell_length_b 8.626
_cell_length_c 9.289
_cell_angle_alpha 90.00
_cell_angle_beta 122.43
_cell_angle_gamma 90.00
_space_group_name_H-M_alt 'C 1 2/m 1'
_space_group_IT_number 12
loop_
_space_group_symop_operation_xyz
'x,y,z'
'-x,-y,-z'
'-x,y,-z'
'x,-y,z'
'x+1/2,y+1/2,z'
'-x+1/2,-y+1/2,-z'
'-x+1/2,y+1/2,-z'
'x+1/2,-y+1/2,z'
loop_
_atom_site_label
_atom_site_type_symbol
_atom_site_fract_x
_atom_site_fract_y
_atom_site_fract_z
La1 La 0.018 0.244 0.309
La2 La 0.227 0.000 0.691
La3 La 0.232 0.500 0.695
P1 P 0.000 0.500 0.500
P2 P 0.250 0.250 0.500
Ru1 Ru 0.000 0.000 0.500
I1 I 0.000 0.000 0.000
I2 I 0.000 0.500 0.000
I3 I 0.250 0.250 0.000
# - formation energy from raw total energies (eV/atom) = -1.267
# - final energy (eV for the cell shown) = -182.81
# - crystal system = monoclinic
# - calculated volume (Å³ per cell) = 1011

---

# La2Sm2Sc GGA-PBE optimized geometry
data_La2Sm2Sc
_cell_length_a 9.489
_cell_length_b 8.377
_cell_length_c 9.358
_cell_angle_alpha 90.00
_cell_angle_beta 117.83
_cell_angle_gamma 90.00
_space_group_name_H-M_alt 'C 1 2/c 1'
_space_group_IT_number 15
loop_
_space_group_symop_operation_xyz
'x,y,z'
'-x,-y,-z'
'-x,y,-z+1/2'
'x,-y,z+1/2'
'x+1/2,y+1/2,z'
'-x+1/2,-y+1/2,-z'
'-x+1/2,y+1/2,-z+1/2'
'x+1/2,-y+1/2,z+1/2'
loop_
_atom_site_label
_atom_site_type_symbol
_atom_site_fract_x
_atom_site_fract_y
_atom_site_fract_z
La1 La 0.116 0.173 0.154
Sm1 Sm 0.166 0.457 0.469
Sc1 Sc 0.000 0.198 0.750
# - ΔE_f (eV per atom) = 0.13
# - final energy (eV for the cell shown) = -99.90
# - E above lowest polymorph (meV per atom) = 0
# - crystal system = monoclinic
# - calculated volume (Å³ per cell) = 658

---

# ScMo4Pb GGA-PBE optimized geometry
data_ScMo4Pb
_cell_length_a 7.617
_cell_length_b 7.617
_cell_length_c 7.617
_cell_angle_alpha 90.00
_cell_angle_beta 90.00
_cell_angle_gamma 90.00
_space_group_name_H-M_alt 'F -4 3 m'
_space_group_IT_number 216
_space_group_name_Hall 'F -4 2 3'
loop_
_atom_site_label
_atom_site_type_symbol
_atom_site_fract_x
_atom_site_fract_y
_atom_site_fract_z
Sc1 Sc 0.000 0.000 0.000
Mo1 Mo 0.125 0.125 0.625
Pb1 Pb 0.250 0.250 0.250
# - ΔE_f (eV per atom) = 0.24
# - final energy (eV for the cell shown) = -207.75
# - crystal system = cubic
# - calculated volume (Å³ per cell) = 442

---

# Sc2TaV GGA-PBE optimized geometry
data_Sc2TaV
_cell_length_a 6.831
_cell_length_b 6.831
_cell_length_c 6.831
_cell_angle_alpha 90.00
_cell_angle_beta 90.00
_cell_angle_gamma 90.00
_space_group_name_H-M_alt 'F m -3 m'
_space_group_IT_number 225
_space_group_name_Hall '-F 4 2 3'
loop_
_atom_site_label
_atom_site_type_symbol
_atom_site_fract_x
_atom_site_fract_y
_atom_site_fract_z
Sc1 Sc 0.250 0.250 0.250
Ta1 Ta 0.000 0.000 0.000
V1 V 0.000 0.000 0.500
# - ΔE_f (eV per atom) = 0.38
# - final energy (eV for the cell shown) = -128.54
# - E above lowest polymorph (meV per atom) = 0
# - crystal system = cubic
# - calculated volume (Å³ per cell) = 319

---

# La3AgCCl GGA-PBE optimized geometry
data_La3AgCCl
_cell_length_a 9.248
_cell_length_b 3.905
_cell_length_c 9.368
_cell_angle_alpha 90.00
_cell_angle_beta 96.58
_cell_angle_gamma 90.00
_space_group_name_H-M_alt 'P 1 21/m 1'
_space_group_IT_number 11
loop_
_space_group_symop_operation_xyz
'x,y,z'
'-x,-y,-z'
'-x,y+1/2,-z'
'x,-y+1/2,z'
loop_
_atom_site_label
_atom_site_type_symbol
_atom_site_fract_x
_atom_site_fract_y
_atom_site_fract_z
La1 La 0.081 0.250 0.332
La2 La 0.353 0.750 0.560
La3 La 0.390 0.750 0.176
Ag1 Ag 0.251 0.250 0.813
C1 C 0.355 0.250 0.350
Cl1 Cl 0.088 0.750 0.111
# - formation energy from raw total energies (eV/atom) = -0.533
# - final energy (eV for the cell shown) = -63.80
# - crystal system = monoclinic
# - calculated volume (Å³ per cell) = 336

---

# Sm7Se4S4 GGA-PBE optimized geometry
data_Sm7Se4S4
_cell_length_a 14.519
_cell_length_b 14.519
_cell_length_c 6.971
_cell_angle_alpha 90.00
_cell_angle_beta 90.00
_cell_angle_gamma 90.00
_space_group_name_H-M_alt 'I 4/m m m'
_space_group_IT_number 139
_space_group_name_Hall '-I 4 2'
loop_
_atom_site_label
_atom_site_type_symbol
_atom_site_fract_x
_atom_site_fract_y
_atom_site_fract_z
Sm1 Sm 0.000 0.000 0.248
Sm2 Sm 0.000 0.276 0.000
Sm3 Sm 0.000 0.381 0.500
Sm4 Sm 0.204 0.204 0.500
Se1 Se 0.000 0.175 0.500
Se2 Se 0.126 0.126 0.000
S1 S 0.151 0.349 0.250
# - formation energy from raw total energies (eV/atom) = -1.813
# - final energy (eV for the cell shown) = -362.70
# - crystal system = tetragonal
# - calculated volume (Å³ per cell) = 1469